Entry 1:
VASP calculation (GGA+U) on CsMoO3 after structural relaxation.

Cell lengths 3.3959, 3.3959, 7.2729 Å; angles 90.00, 90.00, 90.00 degrees
Space group P4mm (No. 99)
Inequivalent atoms, fractional coordinates:
Cs 0.0000 0.0000 0.0000 (multiplicity 1)
Mo 0.5000 0.5000 0.4578 (multiplicity 1)
O 0.0000 0.0000 0.6153 (multiplicity 1)
O 0.0000 0.5000 0.3200 (multiplicity 2)

Results
ρ: 5.48 g/cm3
M_tot: 1.00 Bohr magnetons per cell

---

Entry 2:
VASP calculation (GGA+U) on CsMoO3 after structural relaxation.

Cell lengths 10.9211, 10.9211, 10.9211 Å; angles 90.00, 90.00, 90.00 degrees
Space group Fd-3m (No. 227, origin choice 2)
Inequivalent atoms, fractional coordinates:
Cs 0.0000 0.0000 0.0000 (multiplicity 16)
Mo 0.0000 0.0000 0.5000 (multiplicity 16)
O 0.0549 0.3750 0.8750 (multiplicity 48)

Results
ρ: 5.65 g/cm3
M_tot: 16.00 Bohr magnetons per cell

---

| no. | VASP energy (hartree per atom) |
| --- | --- |
| 1 | -0.200 |
| 2 | -0.226 |